Entry 1:
Below is a crystal of Ca2AlTe relaxed with PBEsol, with properties calculated at the SCAN level.

Unit cell a=5.293 b=5.293 c=3.861 alpha=90.00 beta=90.00 gamma=90.00
Element x y z (fractional)
Ca 0.000 0.500 0.000
Ca 0.500 0.000 0.000
Al 0.000 0.000 0.500
Te 0.500 0.500 0.500

Output
- E_tot: -66.9 eV per cell
- Magnetization: 0.000 μB/atom
- Offset from the most stable computed form: 63 meV per atom

Entry 2:
Below is a crystal of Te3MoWS relaxed with PBEsol, with properties calculated at the SCAN level.

Unit cell a=3.391 b=3.391 c=27.327 alpha=90.00 beta=90.00 gamma=120.00
Element x y z (fractional)
Te 0.000 0.000 0.000
Te 0.000 0.000 0.135
Te 0.000 0.000 0.481
Te 0.000 0.000 0.617
Te 0.667 0.333 0.741
Te 0.667 0.333 0.876
Mo 0.000 0.000 0.808
Mo 0.667 0.333 0.068
W 0.000 0.000 0.308
W 0.667 0.333 0.549
S 0.667 0.333 0.254
S 0.667 0.333 0.363

Output
- E_tot: -455.4 eV per cell
- Magnetization: 0.000 μB/atom

Entry 3:
Below is a crystal of PtSe2Cl relaxed with PBEsol, with properties calculated at the SCAN level.

Unit cell a=3.143 b=3.143 c=7.364 alpha=90.00 beta=90.00 gamma=90.00
Element x y z (fractional)
Pt 0.000 0.000 0.000
Se 0.500 0.500 0.212
Se 0.500 0.500 0.788
Cl 0.000 0.000 0.500

Output
- E_tot: -117.2 eV per cell
- Magnetization: 0.000 μB/atom
- Offset from the most stable computed form: 701 meV per atom

Entry 4:
Below is a crystal of GaRhN2F relaxed with PBEsol, with properties calculated at the SCAN level.

Unit cell a=3.771 b=3.771 c=4.425 alpha=90.00 beta=90.00 gamma=90.00
Element x y z (fractional)
Ga 0.000 0.000 0.000
Rh 0.500 0.500 0.500
N 0.000 0.500 0.500
N 0.500 0.000 0.500
F 0.500 0.500 0.000

Output
- E_tot: -69.9 eV per cell
- Magnetization: 0.000 μB/atom

Formation energy without anion corrections (eV/f.u.)
-2.57 -1.73 1.14 2.37
Volume (Å³/atom)
27.05 22.68 18.19 12.58